<1>
# RbNi3P, optimized geometry, DFT PBE-GGA
data_RbNi3P
_symmetry_space_group_name_H-M 'P m -3 m'
_symmetry_Int_Tables_number 221
_symmetry_space_group_name_Hall '-P 4 2 3'
_cell_length_a 4.443
_cell_length_b 4.443
_cell_length_c 4.443
_cell_angle_alpha 90.00
_cell_angle_beta 90.00
_cell_angle_gamma 90.00
loop_
_atom_site_label
_atom_site_type_symbol
_atom_site_fract_x
_atom_site_fract_y
_atom_site_fract_z
Rb1 Rb 0.000 0.000 0.000
Ni1 Ni 0.000 0.500 0.500
P1 P 0.500 0.500 0.500
# Total magnetization   1.85 μB/f.u.
# Crystal system   cubic

<2>
# RbNi3P, optimized geometry, DFT PBE-GGA
data_RbNi3P
_symmetry_space_group_name_H-M 'P m -3 m'
_symmetry_Int_Tables_number 221
_symmetry_space_group_name_Hall '-P 4 2 3'
_cell_length_a 4.606
_cell_length_b 4.606
_cell_length_c 4.606
_cell_angle_alpha 90.00
_cell_angle_beta 90.00
_cell_angle_gamma 90.00
loop_
_atom_site_label
_atom_site_type_symbol
_atom_site_fract_x
_atom_site_fract_y
_atom_site_fract_z
Rb1 Rb 0.000 0.000 0.000
Ni1 Ni 0.000 0.000 0.500
P1 P 0.500 0.500 0.500
# Total magnetization   0.00 μB/f.u.
# Crystal system   cubic

Result of the stability comparison: <1> is the most stable of them.

<1>
# RbNiP3, optimized geometry, DFT PBE-GGA
data_RbNiP3
_symmetry_space_group_name_H-M 'P 1 21/c 1'
_symmetry_Int_Tables_number 14
_cell_length_a 8.614
_cell_length_b 6.519
_cell_length_c 7.983
_cell_angle_alpha 90.00
_cell_angle_beta 98.62
_cell_angle_gamma 90.00
loop_
_symmetry_equiv_pos_as_xyz
'x,y,z'
'-x,-y,-z'
'-x,y+1/2,-z+1/2'
'x,-y+1/2,z+1/2'
loop_
_atom_site_label
_atom_site_type_symbol
_atom_site_fract_x
_atom_site_fract_y
_atom_site_fract_z
Rb1 Rb 0.141 0.068 0.260
Ni1 Ni 0.471 0.735 0.584
P1 P 0.258 0.581 0.158
P2 P 0.326 0.011 0.928
P3 P 0.473 0.090 0.652
# Total magnetization   0.00 μB/f.u.
# Crystal system   monoclinic

<2>
# RbNiP3, optimized geometry, DFT PBE-GGA
data_RbNiP3
_symmetry_space_group_name_H-M 'P m -3 m'
_symmetry_Int_Tables_number 221
_symmetry_space_group_name_Hall '-P 4 2 3'
_cell_length_a 4.661
_cell_length_b 4.661
_cell_length_c 4.661
_cell_angle_alpha 90.00
_cell_angle_beta 90.00
_cell_angle_gamma 90.00
loop_
_atom_site_label
_atom_site_type_symbol
_atom_site_fract_x
_atom_site_fract_y
_atom_site_fract_z
Rb1 Rb 0.000 0.000 0.000
Ni1 Ni 0.500 0.500 0.500
P1 P 0.000 0.500 0.500
# Total magnetization   0.00 μB/f.u.
# Crystal system   cubic

Result of the stability comparison: <1> is the most stable of them.

<1>
# NiP2Rh, optimized geometry, DFT PBE-GGA
data_NiP2Rh
_symmetry_space_group_name_H-M 'F -4 3 m'
_symmetry_Int_Tables_number 216
_symmetry_space_group_name_Hall 'F -4 2 3'
_cell_length_a 5.934
_cell_length_b 5.934
_cell_length_c 5.934
_cell_angle_alpha 90.00
_cell_angle_beta 90.00
_cell_angle_gamma 90.00
loop_
_atom_site_label
_atom_site_type_symbol
_atom_site_fract_x
_atom_site_fract_y
_atom_site_fract_z
Ni1 Ni 0.000 0.000 0.000
P1 P 0.000 0.000 0.500
P2 P 0.250 0.250 0.750
Rh1 Rh 0.250 0.250 0.250
# Total magnetization   0.00 μB/f.u.
# Crystal system   cubic

<2>
# NiP2Rh, optimized geometry, DFT PBE-GGA
data_NiP2Rh
_symmetry_space_group_name_H-M 'I -4 2 d'
_symmetry_Int_Tables_number 122
_symmetry_space_group_name_Hall 'I -4 2bw'
_cell_length_a 5.117
_cell_length_b 5.117
_cell_length_c 10.418
_cell_angle_alpha 90.00
_cell_angle_beta 90.00
_cell_angle_gamma 90.00
loop_
_atom_site_label
_atom_site_type_symbol
_atom_site_fract_x
_atom_site_fract_y
_atom_site_fract_z
Ni1 Ni 0.000 0.000 0.000
P1 P 0.235 0.250 0.125
Rh1 Rh 0.000 0.000 0.500
# Total magnetization   0.00 μB/f.u.
# Crystal system   tetragonal

Result of the stability comparison: <2> is the most stable of them.

<1>
# NiP2Rh, optimized geometry, DFT PBE-GGA
data_NiP2Rh
_symmetry_space_group_name_H-M 'F m -3 m'
_symmetry_Int_Tables_number 225
_symmetry_space_group_name_Hall '-F 4 2 3'
_cell_length_a 5.882
_cell_length_b 5.882
_cell_length_c 5.882
_cell_angle_alpha 90.00
_cell_angle_beta 90.00
_cell_angle_gamma 90.00
loop_
_atom_site_label
_atom_site_type_symbol
_atom_site_fract_x
_atom_site_fract_y
_atom_site_fract_z
Ni1 Ni 0.000 0.000 0.000
P1 P 0.250 0.250 0.250
Rh1 Rh 0.000 0.000 0.500
# Total magnetization   0.00 μB/f.u.
# Crystal system   cubic

<2>
# NiP2Rh, optimized geometry, DFT PBE-GGA
data_NiP2Rh
_symmetry_space_group_name_H-M 'P 1 2/m 1'
_symmetry_Int_Tables_number 10
_cell_length_a 3.952
_cell_length_b 2.886
_cell_length_c 4.893
_cell_angle_alpha 90.00
_cell_angle_beta 112.16
_cell_angle_gamma 90.00
loop_
_symmetry_equiv_pos_as_xyz
'x,y,z'
'-x,-y,-z'
'-x,y,-z'
'x,-y,z'
loop_
_atom_site_label
_atom_site_type_symbol
_atom_site_fract_x
_atom_site_fract_y
_atom_site_fract_z
Ni1 Ni 0.000 0.000 0.000
P1 P 0.000 0.000 0.500
P2 P 0.500 0.500 0.000
Rh1 Rh 0.500 0.500 0.500
# Total magnetization   0.00 μB/f.u.
# Crystal system   monoclinic

Result of the stability comparison: <2> is the most stable of them.

<1>
# NiPRhS2, optimized geometry, DFT PBE-GGA
data_NiPRhS2
_symmetry_space_group_name_H-M 'P 4/m m m'
_symmetry_Int_Tables_number 123
_symmetry_space_group_name_Hall '-P 4 2'
_cell_length_a 4.449
_cell_length_b 4.449
_cell_length_c 4.194
_cell_angle_alpha 90.00
_cell_angle_beta 90.00
_cell_angle_gamma 90.00
loop_
_atom_site_label
_atom_site_type_symbol
_atom_site_fract_x
_atom_site_fract_y
_atom_site_fract_z
Ni1 Ni 0.000 0.000 0.000
P1 P 0.000 0.000 0.500
Rh1 Rh 0.500 0.500 0.500
S1 S 0.000 0.500 0.000
# Total magnetization   0.00 μB/f.u.
# Crystal system   tetragonal

<2>
# NiPRhS2, optimized geometry, DFT PBE-GGA
data_NiPRhS2
_symmetry_space_group_name_H-M 'P 4/m m m'
_symmetry_Int_Tables_number 123
_symmetry_space_group_name_Hall '-P 4 2'
_cell_length_a 4.783
_cell_length_b 4.783
_cell_length_c 4.334
_cell_angle_alpha 90.00
_cell_angle_beta 90.00
_cell_angle_gamma 90.00
loop_
_atom_site_label
_atom_site_type_symbol
_atom_site_fract_x
_atom_site_fract_y
_atom_site_fract_z
Ni1 Ni 0.000 0.000 0.000
P1 P 0.500 0.500 0.000
Rh1 Rh 0.500 0.500 0.500
S1 S 0.000 0.500 0.500
# Total magnetization   1.79 μB/f.u.
# Crystal system   tetragonal

Result of the stability comparison: <1> is the most stable of them.

<1>
# NiPRuS2, optimized geometry, DFT PBE-GGA
data_NiPRuS2
_symmetry_space_group_name_H-M 'P 4/m m m'
_symmetry_Int_Tables_number 123
_symmetry_space_group_name_Hall '-P 4 2'
_cell_length_a 4.381
_cell_length_b 4.381
_cell_length_c 4.214
_cell_angle_alpha 90.00
_cell_angle_beta 90.00
_cell_angle_gamma 90.00
loop_
_atom_site_label
_atom_site_type_symbol
_atom_site_fract_x
_atom_site_fract_y
_atom_site_fract_z
Ni1 Ni 0.000 0.000 0.000
P1 P 0.000 0.000 0.500
Ru1 Ru 0.500 0.500 0.500
S1 S 0.000 0.500 0.000
# Total magnetization   0.00 μB/f.u.
# Crystal system   tetragonal

<2>
# NiPRuS2, optimized geometry, DFT PBE-GGA
data_NiPRuS2
_symmetry_space_group_name_H-M 'P 4/m m m'
_symmetry_Int_Tables_number 123
_symmetry_space_group_name_Hall '-P 4 2'
_cell_length_a 4.695
_cell_length_b 4.695
_cell_length_c 4.399
_cell_angle_alpha 90.00
_cell_angle_beta 90.00
_cell_angle_gamma 90.00
loop_
_atom_site_label
_atom_site_type_symbol
_atom_site_fract_x
_atom_site_fract_y
_atom_site_fract_z
Ni1 Ni 0.000 0.000 0.000
P1 P 0.500 0.500 0.000
Ru1 Ru 0.500 0.500 0.500
S1 S 0.000 0.500 0.500
# Total magnetization   1.64 μB/f.u.
# Crystal system   tetragonal

Result of the stability comparison: <1> is the most stable of them.

<1>
# NiP3S, optimized geometry, DFT PBE-GGA
data_NiP3S
_symmetry_space_group_name_H-M 'P m -3 m'
_symmetry_Int_Tables_number 221
_symmetry_space_group_name_Hall '-P 4 2 3'
_cell_length_a 4.413
_cell_length_b 4.413
_cell_length_c 4.413
_cell_angle_alpha 90.00
_cell_angle_beta 90.00
_cell_angle_gamma 90.00
loop_
_atom_site_label
_atom_site_type_symbol
_atom_site_fract_x
_atom_site_fract_y
_atom_site_fract_z
Ni1 Ni 0.000 0.000 0.000
P1 P 0.000 0.500 0.500
S1 S 0.500 0.500 0.500
# Total magnetization   0.00 μB/f.u.
# Crystal system   cubic

<2>
# NiP3S, optimized geometry, DFT PBE-GGA
data_NiP3S
_symmetry_space_group_name_H-M 'P m -3 m'
_symmetry_Int_Tables_number 221
_symmetry_space_group_name_Hall '-P 4 2 3'
_cell_length_a 4.388
_cell_length_b 4.388
_cell_length_c 4.388
_cell_angle_alpha 90.00
_cell_angle_beta 90.00
_cell_angle_gamma 90.00
loop_
_atom_site_label
_atom_site_type_symbol
_atom_site_fract_x
_atom_site_fract_y
_atom_site_fract_z
Ni1 Ni 0.000 0.000 0.000
P1 P 0.000 0.000 0.500
S1 S 0.500 0.500 0.500
# Total magnetization   0.00 μB/f.u.
# Crystal system   cubic

Result of the stability comparison: <2> is the most stable of them.

<1>
# NiPS3, optimized geometry, DFT PBE-GGA
data_NiPS3
_symmetry_space_group_name_H-M 'P m -3 m'
_symmetry_Int_Tables_number 221
_symmetry_space_group_name_Hall '-P 4 2 3'
_cell_length_a 4.430
_cell_length_b 4.430
_cell_length_c 4.430
_cell_angle_alpha 90.00
_cell_angle_beta 90.00
_cell_angle_gamma 90.00
loop_
_atom_site_label
_atom_site_type_symbol
_atom_site_fract_x
_atom_site_fract_y
_atom_site_fract_z
Ni1 Ni 0.000 0.000 0.000
P1 P 0.500 0.500 0.500
S1 S 0.000 0.500 0.500
# Total magnetization   1.78 μB/f.u.
# Crystal system   cubic

<2>
# NiPS3, optimized geometry, DFT PBE-GGA
data_NiPS3
_symmetry_space_group_name_H-M 'P m -3 m'
_symmetry_Int_Tables_number 221
_symmetry_space_group_name_Hall '-P 4 2 3'
_cell_length_a 4.372
_cell_length_b 4.372
_cell_length_c 4.372
_cell_angle_alpha 90.00
_cell_angle_beta 90.00
_cell_angle_gamma 90.00
loop_
_atom_site_label
_atom_site_type_symbol
_atom_site_fract_x
_atom_site_fract_y
_atom_site_fract_z
Ni1 Ni 0.000 0.000 0.000
P1 P 0.500 0.500 0.500
S1 S 0.000 0.000 0.500
# Total magnetization   0.00 μB/f.u.
# Crystal system   cubic

Result of the stability comparison: <2> is the most stable of them.